VASP calculation (PBE-GGA) on a geometry-optimized CrCl structure.

Properties
uncorrected formation energy = 0.247 eV per formula unit

```
data_CrCl
_space_group_name_H-M_alt 'P 42/m n m'
_space_group_IT_number 136
_space_group_name_Hall '-P 4n 2n'
_cell_length_a 7.0651
_cell_length_b 7.0651
_cell_length_c 3.8008
_cell_angle_alpha 90.00
_cell_angle_beta 90.00
_cell_angle_gamma 90.00
loop_
_atom_site_label
_atom_site_type_symbol
_atom_site_fract_x
_atom_site_fract_y
_atom_site_fract_z
Cr1 Cr 0.0860 0.0860 0.0000
Cl1 Cl 0.2448 0.7552 0.0000
```

---

VASP calculation (PBE-GGA) on a geometry-optimized CrCl4 structure.

Properties
uncorrected formation energy = 0.300 eV per formula unit

```
data_CrCl4
_space_group_name_H-M_alt 'I 4/m m m'
_space_group_IT_number 139
_space_group_name_Hall '-I 4 2'
_cell_length_a 6.1966
_cell_length_b 6.1966
_cell_length_c 7.5328
_cell_angle_alpha 90.00
_cell_angle_beta 90.00
_cell_angle_gamma 90.00
loop_
_atom_site_label
_atom_site_type_symbol
_atom_site_fract_x
_atom_site_fract_y
_atom_site_fract_z
Cr1 Cr 0.0000 0.0000 0.0000
Cl1 Cl 0.0000 0.0000 0.2849
Cl2 Cl 0.0000 0.5000 0.2500
```

---

VASP calculation (PBE-GGA) on a geometry-optimized CrCl3 structure.

Properties
uncorrected formation energy = 0.982 eV per formula unit

```
data_CrCl3
_space_group_name_H-M_alt 'P m -3 m'
_space_group_IT_number 221
_space_group_name_Hall '-P 4 2 3'
_cell_length_a 4.3328
_cell_length_b 4.3328
_cell_length_c 4.3328
_cell_angle_alpha 90.00
_cell_angle_beta 90.00
_cell_angle_gamma 90.00
loop_
_atom_site_label
_atom_site_type_symbol
_atom_site_fract_x
_atom_site_fract_y
_atom_site_fract_z
Cr1 Cr 0.0000 0.0000 0.0000
Cl1 Cl 0.0000 0.5000 0.5000
```

---

VASP calculation (PBE-GGA) on a geometry-optimized CrCl structure.

Properties
uncorrected formation energy = -0.526 eV per formula unit

```
data_CrCl
_space_group_name_H-M_alt 'C 1 m 1'
_space_group_IT_number 8
_cell_length_a 10.4600
_cell_length_b 3.2439
_cell_length_c 9.3709
_cell_angle_alpha 90.00
_cell_angle_beta 122.57
_cell_angle_gamma 90.00
loop_
_space_group_symop_operation_xyz
'x,y,z'
'x,-y,z'
'x+1/2,y+1/2,z'
'x+1/2,-y+1/2,z'
loop_
_atom_site_label
_atom_site_type_symbol
_atom_site_fract_x
_atom_site_fract_y
_atom_site_fract_z
Cr1 Cr 0.0000 0.0000 0.0000
Cr2 Cr 0.0088 0.0000 0.2642
Cr3 Cr 0.2970 0.0000 0.9722
Cl1 Cl 0.0672 0.5000 0.8266
Cl2 Cl 0.1603 0.5000 0.4633
Cl3 Cl 0.2837 0.0000 0.2192
```

---

VASP calculation (PBE-GGA) on a geometry-optimized CrCl structure.

Properties
uncorrected formation energy = 0.096 eV per formula unit

```
data_CrCl
_space_group_name_H-M_alt 'I 41/a m d'
_space_group_IT_number 141
_cell_length_a 3.6906
_cell_length_b 3.6906
_cell_length_c 13.1963
_cell_angle_alpha 90.00
_cell_angle_beta 90.00
_cell_angle_gamma 90.00
loop_
_space_group_symop_operation_xyz
'x,y,z'
'-x,-y,-z'
'-y+1/4,x+3/4,z+1/4'
'y+1/4,-x+3/4,-z+1/4'
'-x+1/2,-y,z+1/2'
'x+1/2,y,-z+1/2'
'y+1/4,-x+1/4,z+3/4'
'-y+1/4,x+1/4,-z+3/4'
'x,-y,-z'
'-x,y,z'
'-y+1/4,-x+1/4,-z+3/4'
'y+1/4,x+1/4,z+3/4'
'-x+1/2,y,-z+1/2'
'x+1/2,-y,z+1/2'
'y+1/4,x+3/4,-z+1/4'
'-y+1/4,-x+3/4,z+1/4'
'x+1/2,y+1/2,z+1/2'
'-x+1/2,-y+1/2,-z+1/2'
'-y+3/4,x+1/4,z+3/4'
'y+3/4,-x+1/4,-z+3/4'
'-x,-y+1/2,z'
'x,y+1/2,-z'
'y+3/4,-x+3/4,z+1/4'
'-y+3/4,x+3/4,-z+1/4'
'x+1/2,-y+1/2,-z+1/2'
'-x+1/2,y+1/2,z+1/2'
'-y+3/4,-x+3/4,-z+1/4'
'y+3/4,x+3/4,z+1/4'
'-x,y+1/2,-z'
'x,-y+1/2,z'
'y+3/4,x+1/4,-z+3/4'
'-y+3/4,-x+1/4,z+3/4'
loop_
_atom_site_label
_atom_site_type_symbol
_atom_site_fract_x
_atom_site_fract_y
_atom_site_fract_z
Cr1 Cr 0.0000 0.2500 0.3750
Cl1 Cl 0.0000 0.2500 0.8750
```

---

VASP calculation (PBE-GGA) on a geometry-optimized Cr3Cl structure.

Properties
uncorrected formation energy = 2.992 eV per formula unit
relative energy among the computed polymorphs = 595 meV/atom

```
data_Cr3Cl
_space_group_name_H-M_alt 'P 63/m m c'
_space_group_IT_number 194
_space_group_name_Hall '-P 6c 2c'
_cell_length_a 7.2168
_cell_length_b 7.2168
_cell_length_c 5.9449
_cell_angle_alpha 90.00
_cell_angle_beta 90.00
_cell_angle_gamma 120.00
loop_
_atom_site_label
_atom_site_type_symbol
_atom_site_fract_x
_atom_site_fract_y
_atom_site_fract_z
Cr1 Cr 0.0000 0.5000 0.0000
Cr2 Cr 0.1725 0.3451 0.2500
Cl1 Cl 0.0000 0.0000 0.0000
Cl2 Cl 0.3333 0.6667 0.7500
```

---

VASP calculation (PBE-GGA) on a geometry-optimized CrCl3 structure.

Properties
uncorrected formation energy = -2.519 eV per formula unit

```
data_CrCl3
_space_group_name_H-M_alt 'C 1 2/m 1'
_space_group_IT_number 12
_cell_length_a 13.3384
_cell_length_b 3.1942
_cell_length_c 5.2818
_cell_angle_alpha 90.00
_cell_angle_beta 113.23
_cell_angle_gamma 90.00
loop_
_space_group_symop_operation_xyz
'x,y,z'
'-x,-y,-z'
'-x,y,-z'
'x,-y,z'
'x+1/2,y+1/2,z'
'-x+1/2,-y+1/2,-z'
'-x+1/2,y+1/2,-z'
'x+1/2,-y+1/2,z'
loop_
_atom_site_label
_atom_site_type_symbol
_atom_site_fract_x
_atom_site_fract_y
_atom_site_fract_z
Cr1 Cr 0.0000 0.0000 0.0000
Cl1 Cl 0.0000 0.5000 0.5000
Cl2 Cl 0.1398 0.5000 0.1393
```

---

VASP calculation (PBE-GGA) on a geometry-optimized CrCl structure.

Properties
uncorrected formation energy = 0.099 eV per formula unit

```
data_CrCl
_space_group_name_H-M_alt 'P 4/n m m'
_space_group_IT_number 129
_cell_length_a 2.8232
_cell_length_b 2.8232
_cell_length_c 8.2288
_cell_angle_alpha 90.00
_cell_angle_beta 90.00
_cell_angle_gamma 90.00
loop_
_space_group_symop_operation_xyz
'x,y,z'
'-x,-y,-z'
'-y+1/2,x,z'
'y+1/2,-x,-z'
'-x+1/2,-y+1/2,z'
'x+1/2,y+1/2,-z'
'y,-x+1/2,z'
'-y,x+1/2,-z'
'x+1/2,-y,-z'
'-x+1/2,y,z'
'-y,-x,-z'
'y,x,z'
'-x,y+1/2,-z'
'x,-y+1/2,z'
'y+1/2,x+1/2,-z'
'-y+1/2,-x+1/2,z'
loop_
_atom_site_label
_atom_site_type_symbol
_atom_site_fract_x
_atom_site_fract_y
_atom_site_fract_z
Cr1 Cr 0.2500 0.2500 0.1090
Cl1 Cl 0.2500 0.2500 0.7222
```